Entry 1:
The following is a DFT calculation (PBE) of a geometry-optimized TlSnSb2I structure.

Raw formation energy (meV per atom): 687
Energy (eV per atom): -2.5456
ΔE to the lowest computed polymorph (eV/atom): 0.342
Crystal system: tetragonal

a b c (Å): 5.695 5.695 6.096
angles (deg): 90.00 90.00 90.00
Sites, in units of the cell vectors:
Sn: 0.500 0.500 0.500
I: 0.000 0.000 0.500
Sb: 0.500 0.000 0.000
Sb: 0.000 0.500 0.000
Tl: 0.000 0.000 0.000

Entry 2:
The following is a DFT calculation (PBE) of a geometry-optimized TlSnSb2I structure.

Raw formation energy (meV per atom): 345
Energy (eV per atom): -2.8873
ΔE to the lowest computed polymorph (eV/atom): 0.000
Crystal system: tetragonal

a b c (Å): 5.717 5.717 6.333
angles (deg): 90.00 90.00 90.00
Sites, in units of the cell vectors:
Sn: 0.000 0.000 0.000
I: 0.000 0.000 0.500
Tl: 0.500 0.500 0.500
Sb: 0.000 0.500 0.000
Sb: 0.500 0.000 0.000

Entry 3:
The following is a DFT calculation (PBE) of a geometry-optimized VSnSbI2 structure.

Raw formation energy (meV per atom): 270
Energy (eV per atom): -3.7991
ΔE to the lowest computed polymorph (eV/atom): 0.000
Crystal system: tetragonal

a b c (Å): 5.423 5.423 5.469
angles (deg): 90.00 90.00 90.00
Sites, in units of the cell vectors:
I: 0.000 0.500 0.000
I: 0.500 0.000 0.000
V: 0.000 0.000 0.000
Sn: 0.500 0.500 0.500
Sb: 0.000 0.000 0.500

Entry 4:
The following is a DFT calculation (PBE) of a geometry-optimized VSnSbI2 structure.

Raw formation energy (meV per atom): 841
Energy (eV per atom): -3.2279
ΔE to the lowest computed polymorph (eV/atom): 0.571
Crystal system: tetragonal

a b c (Å): 5.916 5.916 5.922
angles (deg): 90.00 90.00 90.00
Sites, in units of the cell vectors:
I: 0.500 0.000 0.000
I: 0.000 0.500 0.000
V: 0.500 0.500 0.500
Sn: 0.000 0.000 0.000
Sb: 0.000 0.000 0.500

Entry 5:
The following is a DFT calculation (PBE) of a geometry-optimized SnSb2WI structure.

Raw formation energy (meV per atom): 720
Energy (eV per atom): -4.6298
ΔE to the lowest computed polymorph (eV/atom): 0.000
Crystal system: tetragonal

a b c (Å): 5.209 5.209 5.866
angles (deg): 90.00 90.00 90.00
Sites, in units of the cell vectors:
Sn: 0.500 0.500 0.500
Sb: 0.500 0.000 0.000
Sb: 0.000 0.500 0.000
W: 0.000 0.000 0.000
I: 0.000 0.000 0.500

Entry 6:
The following is a DFT calculation (PBE) of a geometry-optimized SnSb2WI structure.

Raw formation energy (meV per atom): 1719
Energy (eV per atom): -3.6309
ΔE to the lowest computed polymorph (eV/atom): 0.999
Crystal system: tetragonal

a b c (Å): 5.652 5.652 5.703
angles (deg): 90.00 90.00 90.00
Sites, in units of the cell vectors:
Sb: 0.500 0.000 0.000
Sb: 0.000 0.500 0.000
I: 0.000 0.000 0.500
Sn: 0.000 0.000 0.000
W: 0.500 0.500 0.500

Entry 7:
The following is a DFT calculation (PBE) of a geometry-optimized YSnSb2I structure.

Raw formation energy (meV per atom): 288
Energy (eV per atom): -3.7645
ΔE to the lowest computed polymorph (eV/atom): 0.170
Crystal system: tetragonal

a b c (Å): 5.621 5.621 5.764
angles (deg): 90.00 90.00 90.00
Sites, in units of the cell vectors:
Sb: 0.500 0.000 0.000
Sb: 0.000 0.500 0.000
I: 0.000 0.000 0.500
Sn: 0.000 0.000 0.000
Y: 0.500 0.500 0.500

Entry 8:
The following is a DFT calculation (PBE) of a geometry-optimized YSnSbI2 structure.

Raw formation energy (meV per atom): 161
Energy (eV per atom): -3.3767
ΔE to the lowest computed polymorph (eV/atom): 0.381
Crystal system: tetragonal

a b c (Å): 5.775 5.775 5.917
angles (deg): 90.00 90.00 90.00
Sites, in units of the cell vectors:
Y: 0.500 0.500 0.500
I: 0.500 0.000 0.000
I: 0.000 0.500 0.000
Sb: 0.000 0.000 0.500
Sn: 0.000 0.000 0.000

Entry 9:
The following is a DFT calculation (PBE) of a geometry-optimized YSnSbI2 structure.

Raw formation energy (meV per atom): -220
Energy (eV per atom): -3.7577
ΔE to the lowest computed polymorph (eV/atom): 0.000
Crystal system: tetragonal

a b c (Å): 5.812 5.812 6.177
angles (deg): 90.00 90.00 90.00
Sites, in units of the cell vectors:
I: 0.500 0.000 0.000
I: 0.000 0.500 0.000
Sn: 0.500 0.500 0.500
Sb: 0.000 0.000 0.500
Y: 0.000 0.000 0.000

Entry 10:
The following is a DFT calculation (PBE) of a geometry-optimized YSnSb2I structure.

Raw formation energy (meV per atom): 118
Energy (eV per atom): -3.9342
ΔE to the lowest computed polymorph (eV/atom): 0.000
Crystal system: tetragonal

a b c (Å): 5.879 5.879 5.792
angles (deg): 90.00 90.00 90.00
Sites, in units of the cell vectors:
I: 0.000 0.000 0.500
Sn: 0.500 0.500 0.500
Y: 0.000 0.000 0.000
Sb: 0.000 0.500 0.000
Sb: 0.500 0.000 0.000

Entry 11:
The following is a DFT calculation (PBE) of a geometry-optimized ZrSnSb2I structure.

Raw formation energy (meV per atom): 867
Energy (eV per atom): -3.6022
ΔE to the lowest computed polymorph (eV/atom): 0.682
Crystal system: tetragonal

a b c (Å): 5.591 5.591 5.708
angles (deg): 90.00 90.00 90.00
Sites, in units of the cell vectors:
Sn: 0.000 0.000 0.000
Sb: 0.000 0.500 0.000
Sb: 0.500 0.000 0.000
I: 0.000 0.000 0.500
Zr: 0.500 0.500 0.500

Entry 12:
The following is a DFT calculation (PBE) of a geometry-optimized ZrSnSbI2 structure.

Raw formation energy (meV per atom): 51
Energy (eV per atom): -3.9037
ΔE to the lowest computed polymorph (eV/atom): 0.000
Crystal system: tetragonal

a b c (Å): 5.608 5.608 5.834
angles (deg): 90.00 90.00 90.00
Sites, in units of the cell vectors:
Zr: 0.000 0.000 0.000
I: 0.000 0.500 0.000
I: 0.500 0.000 0.000
Sb: 0.000 0.000 0.500
Sn: 0.500 0.500 0.500

Question: Number 12 is which compound?
Answer: ZrSnSbI2

Question: Number 3 is which compound?
Answer: VSnSbI2